# 1
A relaxed structure of Li2CaHg9, computed with GGA-PBE.

a b c (Å): 4.621 4.621 13.295
angles (deg): 90.00 90.00 90.00
Sites, in units of the cell vectors:
Hg 0.500 0.500 0.339
Hg 0.500 0.500 0.661
Hg 0.000 0.500 0.179
Ca 0.000 0.000 0.000
Li 0.000 0.000 0.342
Hg 0.000 0.500 0.500
Hg 0.500 0.000 0.821
Hg 0.000 0.500 0.821
Hg 0.500 0.500 0.000
Hg 0.500 0.000 0.500
Hg 0.500 0.000 0.179
Li 0.000 0.000 0.658

Computed properties:
density of states at the Fermi level = 6.6 states/eV/cell
calculated volume = 23.66 A^3/atom
E_form = -0.2328 eV per atom

# 2
A relaxed structure of TbErMgRh, computed with GGA-PBE.

a b c (Å): 5.040 5.040 5.040
angles (deg): 60.00 60.00 60.00
Sites, in units of the cell vectors:
Tb 0.250 0.250 0.250
Rh 0.500 0.500 0.500
Mg 0.000 0.000 0.000
Er 0.750 0.750 0.750

Computed properties:
density of states at the Fermi level = 1.6 states/eV/cell
calculated volume = 22.64 A^3/atom
E_form = -0.4175 eV per atom

# 3
A relaxed structure of PaCrTe2, computed with GGA-PBE.

a b c (Å): 4.122 4.122 9.668
angles (deg): 77.69 77.69 60.00
Sites, in units of the cell vectors:
Te 0.904 0.904 0.287
Te 0.096 0.096 0.713
Pa 0.500 0.500 0.500
Cr 0.000 0.000 0.000

Computed properties:
density of states at the Fermi level = 4.6 states/eV/cell
calculated volume = 34.48 A^3/atom
ΔE_f (raw) = -0.0284 eV/atom

# 4
A relaxed structure of Sm2YMg, computed with GGA-PBE.

a b c (Å): 3.555 3.555 11.645
angles (deg): 81.24 81.24 59.98
Sites, in units of the cell vectors:
Sm 0.248 0.248 0.255
Mg 0.500 0.500 0.500
Sm 0.085 0.085 0.745
Y 0.667 0.667 0.999

Computed properties:
density of states at the Fermi level = 4.9 states/eV/cell
calculated volume = 31.36 A^3/atom
E_form = 0.0418 eV per atom

Number 1: density 10.9 g/cm³. Number 2: density 8.3 g/cm³. Number 3: density 6.5 g/cm³. Number 4: density 5.5 g/cm³.